P) Below is an optimized crystal structure of Mg3TiOs, with properties calculated at the PBE-GGA level.

a = 4.884 Å, b = 4.884 Å, c = 4.884 Å
α = 90.00°, β = 90.00°, γ = 90.00°
Positions (direct):
Mg (0.000, 0.000, 0.500)
Mg (0.000, 0.500, 0.000)
Mg (0.500, 0.000, 0.000)
Ti (0.500, 0.500, 0.500)
Os (0.000, 0.000, 0.000)

***

Q) Below is an optimized crystal structure of Mg3TiOs, with properties calculated at the PBE-GGA level.

a = 4.935 Å, b = 4.935 Å, c = 4.935 Å
α = 90.00°, β = 90.00°, γ = 90.00°
Positions (direct):
Mg (0.000, 0.000, 0.500)
Mg (0.000, 0.500, 0.000)
Mg (0.500, 0.000, 0.000)
Ti (0.000, 0.000, 0.000)
Os (0.500, 0.500, 0.500)

***

P) wins, 1027 meV/atom ahead of the next structure.